# Li4Ga2AgIr

Li4Ga2AgIr after structural relaxation (PBE, the Open Quantum Materials Database).

Output
**Spin magnetization**: 0.001 μB per cell
**Final energy**: -3.5414 eV/atom

Lattice parameters (Å, degrees): 4.3218 4.3218 6.1169 90.00 90.00 90.00
Space group P-4m2 (No. 115)
Symmetry-distinct sites (fractional):
1 Li 0.0000 0.0000 0.0000 [1 per cell]
2 Li 0.0000 0.5000 0.7461 [2 per cell]
3 Li 0.5000 0.5000 0.5000 [1 per cell]
4 Ga 0.0000 0.5000 0.2792 [2 per cell]
5 Ag 0.5000 0.5000 0.0000 [1 per cell]
6 Ir 0.0000 0.0000 0.5000 [1 per cell]


# Na4Ga2AgIr

Na4Ga2AgIr after structural relaxation (PBE, the Open Quantum Materials Database).

Output
**Spin magnetization**: 0.007 μB per cell
**Final energy**: -2.8409 eV/atom

Lattice parameters (Å, degrees): 4.7420 4.7420 6.8032 90.00 90.00 90.00
Space group P-4m2 (No. 115)
Symmetry-distinct sites (fractional):
1 Na 0.0000 0.0000 0.0000 [1 per cell]
2 Na 0.0000 0.5000 0.7469 [2 per cell]
3 Na 0.5000 0.5000 0.5000 [1 per cell]
4 Ga 0.0000 0.5000 0.2026 [2 per cell]
5 Ag 0.0000 0.0000 0.5000 [1 per cell]
6 Ir 0.5000 0.5000 0.0000 [1 per cell]


# GaAg2IrS4

GaAg2IrS4 after structural relaxation (PBE, the Open Quantum Materials Database).

Output
**Spin magnetization**: 0.087 μB per cell
**Final energy**: -4.3882 eV/atom

Lattice parameters (Å, degrees): 5.6112 5.6112 11.1009 90.00 90.00 90.00
Space group I-4 (No. 82)
Symmetry-distinct sites (fractional):
1 Ga 0.0000 0.0000 0.0000 [2 per cell]
2 Ag 0.0000 0.0000 0.5000 [2 per cell]
3 Ag 0.0000 0.5000 0.7500 [2 per cell]
4 Ir 0.0000 0.5000 0.2500 [2 per cell]
5 S 0.2147 0.2558 0.1273 [8 per cell]


# Sc2Ga4AgIr

Sc2Ga4AgIr after structural relaxation (PBE, the Open Quantum Materials Database).

Output
**Spin magnetization**: 0.018 μB per cell
**Final energy**: -5.1112 eV/atom

Lattice parameters (Å, degrees): 6.6113 4.2264 9.9098 90.00 90.00 90.00
Space group Amm2 (No. 38)
Symmetry-distinct sites (fractional):
1 Sc 0.0000 0.0000 0.0000 [2 per cell]
2 Sc 0.5000 0.0000 0.1610 [2 per cell]
3 Ga 0.1968 0.0000 0.7071 [4 per cell]
4 Ga 0.2946 0.0000 0.4521 [4 per cell]
5 Ag 0.5000 0.0000 0.8750 [2 per cell]
6 Ir 0.0000 0.0000 0.2852 [2 per cell]


# GaAg2IrSe4

GaAg2IrSe4 after structural relaxation (PBE, the Open Quantum Materials Database).

Output
**Spin magnetization**: 0.009 μB per cell
**Final energy**: -4.0470 eV/atom

Lattice parameters (Å, degrees): 5.9185 5.9185 11.6694 90.00 90.00 90.00
Space group I-4 (No. 82)
Symmetry-distinct sites (fractional):
1 Ga 0.0000 0.0000 0.0000 [2 per cell]
2 Ag 0.0000 0.0000 0.5000 [2 per cell]
3 Ag 0.0000 0.5000 0.2500 [2 per cell]
4 Ir 0.0000 0.5000 0.7500 [2 per cell]
5 Se 0.2207 0.2587 0.8714 [8 per cell]


# Tb2TmGa3AgIr2

Tb2TmGa3AgIr2 after structural relaxation (PBE, the Open Quantum Materials Database).

Output
**Spin magnetization**: 0.013 μB per cell
**Final energy**: -5.5316 eV/atom

Lattice parameters (Å, degrees): 3.8998 12.5139 7.3248 90.00 90.00 90.00
Space group Amm2 (No. 38)
Symmetry-distinct sites (fractional):
1 Tb 0.0000 0.2062 0.0000 [4 per cell]
2 Tm 0.0000 0.0000 0.3804 [2 per cell]
3 Ga 0.5000 0.0000 0.0616 [2 per cell]
4 Ga 0.5000 0.1345 0.6592 [4 per cell]
5 Ag 0.0000 0.0000 0.7880 [2 per cell]
6 Ir 0.5000 0.1633 0.2954 [4 per cell]


# GaAg2Te4Ir

GaAg2Te4Ir after structural relaxation (PBE, the Open Quantum Materials Database).

Output
**Spin magnetization**: 0.001 μB per cell
**Final energy**: -3.8047 eV/atom

Lattice parameters (Å, degrees): 6.3378 6.3378 12.2784 90.00 90.00 90.00
Space group I-4 (No. 82)
Symmetry-distinct sites (fractional):
1 Ga 0.0000 0.0000 0.0000 [2 per cell]
2 Ag 0.0000 0.0000 0.5000 [2 per cell]
3 Ag 0.0000 0.5000 0.2500 [2 per cell]
4 Te 0.2275 0.7395 0.8696 [8 per cell]
5 Ir 0.0000 0.5000 0.7500 [2 per cell]


# KGaAg

KGaAg after structural relaxation (PBE, the Open Quantum Materials Database).

Output
**Final energy**: -2.0619 eV/atom

Lattice parameters (Å, degrees): 7.2071 7.2071 7.2071 90.00 90.00 90.00
Space group F-43m (No. 216)
Symmetry-distinct sites (fractional):
1 K 0.0000 0.0000 0.0000 [4 per cell]
2 Ga 0.0000 0.0000 0.5000 [4 per cell]
3 Ag 0.2500 0.2500 0.7500 [4 per cell]


# KGa8Ag3Se14

KGa8Ag3Se14 after structural relaxation (PBE, the Open Quantum Materials Database).

Output
**Final energy**: -3.7872 eV/atom

Lattice parameters (Å, degrees): 13.0957 11.8864 9.8214 90.00 116.21 90.00
Space group Cm (No. 8)
Symmetry-distinct sites (fractional):
1 K 0.0000 0.0000 0.0000 [2 per cell]
2 Ga 0.1681 0.3288 0.5003 [4 per cell]
3 Ga 0.2719 0.1644 0.9052 [4 per cell]
4 Ga 0.3743 0.3300 0.2966 [4 per cell]
5 Ga 0.4649 0.1655 0.6988 [4 per cell]
6 Ag 0.0757 0.5000 0.0708 [2 per cell]
7 Ag 0.1536 0.0000 0.5218 [2 per cell]
8 Ag 0.3687 0.0000 0.2778 [2 per cell]
9 Se 0.0708 0.1741 0.3370 [4 per cell]
10 Se 0.0891 0.5000 0.3572 [2 per cell]
11 Se 0.1550 0.0000 0.7887 [2 per cell]
12 Se 0.1705 0.3368 0.7531 [4 per cell]
13 Se 0.2531 0.1802 0.1404 [4 per cell]
14 Se 0.2998 0.5000 0.1460 [2 per cell]
15 Se 0.3705 0.0000 0.5550 [2 per cell]
16 Se 0.3720 0.3366 0.5507 [4 per cell]
17 Se 0.4671 0.1916 0.9446 [4 per cell]


# La3Ga8Ag3

La3Ga8Ag3 after structural relaxation (PBE, the Open Quantum Materials Database).

Output
**Spin magnetization**: 0.005 μB per cell
**Final energy**: -3.9075 eV/atom

Lattice parameters (Å, degrees): 4.4838 9.5716 13.5378 90.00 90.00 90.00
Space group Immm (No. 71)
Symmetry-distinct sites (fractional):
1 La 0.0000 0.0000 0.0000 [2 per cell]
2 La 0.0000 0.0000 0.3006 [4 per cell]
3 Ga 0.0000 0.2797 0.1443 [8 per cell]
4 Ga 0.0000 0.3662 0.3407 [8 per cell]
5 Ag 0.0000 0.1976 0.5000 [4 per cell]
6 Ag 0.0000 0.5000 0.0000 [2 per cell]


# La2Ga7Ag

La2Ga7Ag after structural relaxation (PBE, the Open Quantum Materials Database).

Output
**Spin magnetization**: 0.004 μB per cell
**Final energy**: -3.8998 eV/atom

Lattice parameters (Å, degrees): 4.4254 4.4254 10.6078 90.00 90.00 90.00
Space group P-4m2 (No. 115)
Symmetry-distinct sites (fractional):
1 La 0.0000 0.5000 0.2483 [2 per cell]
2 Ga 0.0000 0.0000 0.0000 [1 per cell]
3 Ga 0.0000 0.5000 0.6340 [2 per cell]
4 Ga 0.0000 0.5000 0.8679 [2 per cell]
5 Ga 0.5000 0.5000 0.0000 [1 per cell]
6 Ga 0.5000 0.5000 0.5000 [1 per cell]
7 Ag 0.0000 0.0000 0.5000 [1 per cell]


# Li2LaYGa2Ag2

Li2LaYGa2Ag2 after structural relaxation (PBE, the Open Quantum Materials Database).

Output
**Spin magnetization**: 0.004 μB per cell
**Final energy**: -3.7068 eV/atom

Lattice parameters (Å, degrees): 4.8360 4.8360 6.8323 90.00 90.00 90.00
Space group P-4m2 (No. 115)
Symmetry-distinct sites (fractional):
1 Li 0.0000 0.5000 0.2452 [2 per cell]
2 La 0.0000 0.0000 0.5000 [1 per cell]
3 Y 0.5000 0.5000 0.0000 [1 per cell]
4 Ga 0.0000 0.0000 0.0000 [1 per cell]
5 Ga 0.5000 0.5000 0.5000 [1 per cell]
6 Ag 0.0000 0.5000 0.7614 [2 per cell]


# LaNd2Ga3AgPd2

LaNd2Ga3AgPd2 after structural relaxation (PBE, the Open Quantum Materials Database).

Output
**Spin magnetization**: 0.008 μB per cell
**Final energy**: -4.7825 eV/atom

Lattice parameters (Å, degrees): 3.9790 13.1714 7.6163 90.00 90.00 90.00
Space group Amm2 (No. 38)
Symmetry-distinct sites (fractional):
1 La 0.0000 0.0000 0.0000 [2 per cell]
2 Nd 0.0000 0.2057 0.6213 [4 per cell]
3 Ga 0.5000 0.0000 0.6698 [2 per cell]
4 Ga 0.5000 0.1319 0.2870 [4 per cell]
5 Ag 0.0000 0.0000 0.4144 [2 per cell]
6 Pd 0.5000 0.1662 0.9157 [4 per cell]


# LaNd2Ga3AgPt2

LaNd2Ga3AgPt2 after structural relaxation (PBE, the Open Quantum Materials Database).

Output
**Spin magnetization**: 0.012 μB per cell
**Final energy**: -5.1064 eV/atom

Lattice parameters (Å, degrees): 3.9843 13.1595 7.5942 90.00 90.00 90.00
Space group Amm2 (No. 38)
Symmetry-distinct sites (fractional):
1 La 0.0000 0.0000 0.0000 [2 per cell]
2 Nd 0.0000 0.2066 0.6230 [4 per cell]
3 Ga 0.5000 0.0000 0.6714 [2 per cell]
4 Ga 0.5000 0.1316 0.2883 [4 per cell]
5 Ag 0.0000 0.0000 0.4164 [2 per cell]
6 Pt 0.5000 0.1663 0.9172 [4 per cell]


# La2PrGa3AgPd2

La2PrGa3AgPd2 after structural relaxation (PBE, the Open Quantum Materials Database).

Output
**Spin magnetization**: 0.006 μB per cell
**Final energy**: -4.8061 eV/atom

Lattice parameters (Å, degrees): 4.0274 13.2295 7.6225 90.00 90.00 90.00
Space group Amm2 (No. 38)
Symmetry-distinct sites (fractional):
1 La 0.0000 0.2079 0.0000 [4 per cell]
2 Pr 0.0000 0.0000 0.6196 [2 per cell]
3 Ga 0.5000 0.0000 0.9465 [2 per cell]
4 Ga 0.5000 0.1269 0.3371 [4 per cell]
5 Ag 0.0000 0.0000 0.2061 [2 per cell]
6 Pd 0.5000 0.1680 0.7083 [4 per cell]


# LaGaAg2Sn

LaGaAg2Sn after structural relaxation (PBE, the Open Quantum Materials Database).

Output
**Spin magnetization**: 0.011 μB per cell
**Final energy**: -3.9508 eV/atom

Lattice parameters (Å, degrees): 4.5788 4.5788 11.1194 90.00 90.00 90.00
Space group P4/nmm (No. 129, origin choice 2)
Symmetry-distinct sites (fractional):
1 La 0.2500 0.2500 0.2407 [2 per cell]
2 Ga 0.2500 0.7500 0.0000 [2 per cell]
3 Ag 0.2500 0.2500 0.8851 [2 per cell]
4 Ag 0.2500 0.7500 0.5000 [2 per cell]
5 Sn 0.2500 0.2500 0.6443 [2 per cell]


# Li3Ga4Ag2

Li3Ga4Ag2 after structural relaxation (PBE, the Open Quantum Materials Database).

Output
**Final energy**: -2.8656 eV/atom

Lattice parameters (Å, degrees): 9.5946 4.4529 8.4226 90.00 123.23 90.00
Space group C2/m (No. 12)
Symmetry-distinct sites (fractional):
1 Li 0.0000 0.0000 0.0000 [2 per cell]
2 Li 0.1653 0.5000 0.6656 [4 per cell]
3 Ga 0.0560 0.0000 0.3932 [4 per cell]
4 Ga 0.2201 0.5000 0.0546 [4 per cell]
5 Ag 0.1131 0.5000 0.2797 [4 per cell]


# LiGaAg2

LiGaAg2 after structural relaxation (PBE, the Open Quantum Materials Database).

Output
**Final energy**: -2.7818 eV/atom

Lattice parameters (Å, degrees): 4.4987 4.4987 8.3207 90.00 90.00 120.00
Space group P6_3/mmc (No. 194)
Symmetry-distinct sites (fractional):
1 Li 0.3333 0.6667 0.2500 [2 per cell]
2 Ga 0.0000 0.0000 0.0000 [2 per cell]
3 Ag 0.3333 0.6667 0.5825 [4 per cell]


# LiGaAg2

LiGaAg2 after structural relaxation (PBE, the Open Quantum Materials Database).

Output
**Final energy**: -2.8192 eV/atom

Lattice parameters (Å, degrees): 6.4381 6.4381 6.4381 90.00 90.00 90.00
Space group F-43m (No. 216)
Symmetry-distinct sites (fractional):
1 Li 0.0000 0.0000 0.0000 [4 per cell]
2 Ga 0.2500 0.2500 0.7500 [4 per cell]
3 Ag 0.0000 0.0000 0.5000 [4 per cell]
4 Ag 0.2500 0.2500 0.2500 [4 per cell]


# LiGaAg2

LiGaAg2 after structural relaxation (PBE, the Open Quantum Materials Database).

Output
**Final energy**: -2.7806 eV/atom

Lattice parameters (Å, degrees): 7.5937 7.7107 5.0442 90.00 90.00 90.00
Space group Pnma (No. 62)
Symmetry-distinct sites (fractional):
1 Li 0.0341 0.2500 0.1057 [4 per cell]
2 Ga 0.1260 0.7500 0.4098 [4 per cell]
3 Ag 0.1731 0.0627 0.5947 [8 per cell]


Calculated volume (computed, Å³ per cell): 114.25, 152.98, 349.52, 276.90, 408.76, 357.47, 493.19, 374.35, 1371.56, 581.01, 207.74, 159.79, 399.17, 398.17, 406.13, 233.13, 301.01, 145.84, 266.85, 295.35
Mass density (computed, kg/m³): 6792, 5769, 5758, 8023, 6447, 11040, 6654, 3845, 4906, 7420, 6984, 6203, 7965, 9463, 7757, 7737, 5687, 6659, 7278, 6576